DFT (GGA-PBE) results for a relaxed K2CoRh crystal.

N(E_F)	3.551	states/eV/cell
symmetry	No. 166
ΔE_f	4.19	eV per formula unit

Lattice parameters (Å, degrees): 11.112 11.112 11.112 15.17 15.17 15.17
Site moments in Bohr magnetons follow the coordinates.
Element x y z (fractional)
Co (0.750, 0.750, 0.750)  1.59
K (0.503, 0.503, 0.503)  -0.02
K (0.997, 0.997, 0.997)  -0.02
Rh (0.250, 0.250, 0.250)  -0.26

***

DFT (GGA-PBE) results for a relaxed AcPr7Y4 crystal.

N(E_F)	16.827	states/eV/cell
symmetry	No. 2
ΔE_f	0.05	eV per formula unit

Lattice parameters (Å, degrees): 7.439 6.445 11.812 79.56 50.93 90.09
Element x y z (fractional)
Pr (0.338, 0.775, 0.663)
Y (0.407, 0.721, 0.335)
Ac (0.000, 0.000, 0.000)
Y (0.593, 0.279, 0.665)
Pr (0.742, 0.499, 0.002)
Pr (0.258, 0.501, 0.998)
Pr (0.500, 0.000, 0.000)
Pr (0.916, 0.718, 0.337)
Y (0.164, 0.218, 0.335)
Y (0.836, 0.782, 0.665)
Pr (0.084, 0.282, 0.663)
Pr (0.662, 0.225, 0.337)

***

DFT (GGA-PBE) results for a relaxed SrY3Ag crystal.

N(E_F)	3.249	states/eV/cell
symmetry	No. 221
ΔE_f	6.17	eV per formula unit

Lattice parameters (Å, degrees): 5.639 5.639 5.639 90.00 90.00 90.00
Element x y z (fractional)
Y (0.000, 0.500, 0.000)
Y (0.000, 0.000, 0.500)
Y (0.500, 0.000, 0.000)
Ag (0.500, 0.500, 0.500)
Sr (0.000, 0.000, 0.000)

***

| no. | V (Å³ per cell) |
| --- | --- |
| 1 | 81.9 |
| 2 | 427.4 |
| 3 | 179.3 |